Record 1
{
  "formula": "TlCrGaPb2",
  "functional": "PBEsol",
  "state": "optimized geometry",
  "e_form_ev_per_atom": 1.07,
  "cell": [[5.182, 0.000, 0.000], [0.000, 5.709, 0.000], [0.000, 0.000, 5.709]],
  "species": ["Pb", "Pb", "Cr", "Tl", "Ga"],
  "frac_coords": [[0.000, 0.000, 0.500], [0.000, 0.500, 0.000], [0.500, 0.000, 0.000], [0.000, 0.000, 0.000], [0.500, 0.500, 0.500]]
}

=====

Record 2
{
  "formula": "TiIn2Cl",
  "functional": "PBEsol",
  "state": "optimized geometry",
  "e_form_raw_ev_per_atom": 0.285,
  "cell": [[5.016, 0.000, 0.000], [2.508, 4.344, 0.000], [2.508, 1.448, 4.096]],
  "species": ["Cl", "Ti", "In", "In"],
  "frac_coords": [[0.000, 0.000, 0.000], [0.500, 0.500, 0.500], [0.250, 0.250, 0.250], [0.750, 0.750, 0.750]]
}

=====

Record 3
{
  "formula": "FeNiAg2",
  "functional": "PBEsol",
  "state": "optimized geometry",
  "e_form_ev_per_atom": 0.40,
  "cell": [[2.806, 0.000, 0.000], [0.000, 4.450, 0.000], [0.000, 0.000, 4.516]],
  "species": ["Ag", "Ag", "Fe", "Ni"],
  "frac_coords": [[0.000, 0.000, 0.000], [0.500, 0.500, 0.000], [0.500, 0.000, 0.500], [0.000, 0.500, 0.500]]
}

=====

Record 4
{
  "formula": "AsRhWBr2",
  "functional": "PBEsol",
  "state": "optimized geometry",
  "e_form_raw_ev_per_atom": 1.194,
  "cell": [[4.882, 0.000, 0.000], [0.000, 4.903, 0.000], [0.000, 0.000, 4.903]],
  "species": ["As", "Rh", "Br", "Br", "W"],
  "frac_coords": [[0.500, 0.000, 0.000], [0.500, 0.500, 0.500], [0.000, 0.000, 0.500], [0.000, 0.500, 0.000], [0.000, 0.000, 0.000]]
}

=====

Record 5
{
  "formula": "SrTcOs2",
  "functional": "PBEsol",
  "state": "optimized geometry",
  "e_form_ev_per_atom": 0.90,
  "cell": [[-2.061, 1.359, 1.362], [-3.126, -1.210, -3.524], [1.452, -4.263, 3.531]],
  "species": ["Os", "Os", "Sr", "Tc"],
  "frac_coords": [[0.781, 0.781, 0.563], [0.219, 0.219, 0.437], [0.000, 0.500, 0.000], [0.500, 0.000, 0.000]]
}

=====

Record 6
{
  "formula": "ScNO2F",
  "functional": "PBEsol",
  "state": "optimized geometry",
  "e_form_raw_ev_per_atom": -0.533,
  "cell": [[-3.567, -1.653, 1.042], [1.942, -2.552, 2.598], [-0.403, 2.776, 3.028]],
  "species": ["Sc", "N", "O", "O", "F"],
  "frac_coords": [[0.000, 0.000, 0.000], [0.500, 0.500, 0.500], [0.000, 0.000, 0.500], [0.000, 0.500, 0.000], [0.500, 0.000, 0.000]]
}

=====

Record 7
{
  "formula": "Er2Fe12P7",
  "functional": "PBEsol",
  "state": "optimized geometry",
  "e_form_ev_per_atom": -0.84,
  "cell": [[3.581, 0.000, 0.000], [0.000, 8.799, 0.000], [0.000, -4.399, 7.620]],
  "species": ["Er", "Er", "Fe", "Fe", "Fe", "Fe", "Fe", "Fe", "Fe", "Fe", "Fe", "Fe", "Fe", "Fe", "P", "P", "P", "P", "P", "P", "P"],
  "frac_coords": [[0.000, 0.000, 0.000], [0.500, 0.667, 0.333], [0.000, 0.907, 0.610], [0.000, 0.703, 0.093], [0.000, 0.390, 0.297], [0.000, 0.179, 0.393], [0.000, 0.214, 0.821], [0.000, 0.607, 0.786], [0.500, 0.950, 0.234], [0.500, 0.284, 0.050], [0.500, 0.766, 0.716], [0.500, 0.122, 0.571], [0.500, 0.450, 0.878], [0.500, 0.429, 0.550], [0.000, 0.922, 0.369], [0.000, 0.447, 0.078], [0.000, 0.631, 0.553], [0.500, 0.222, 0.266], [0.500, 0.044, 0.778], [0.500, 0.734, 0.956], [0.000, 0.333, 0.667]]
}

=====

Record 8
{
  "formula": "ZrCo2Hg",
  "functional": "PBEsol",
  "state": "optimized geometry",
  "e_form_ev_per_atom": -0.04,
  "cell": [[-0.112, 2.480, -2.603], [-3.576, -0.749, -0.560], [-1.105, 1.974, 4.413]],
  "species": ["Co", "Co", "Hg", "Zr"],
  "frac_coords": [[0.192, 0.000, 0.385], [0.057, 0.500, 0.114], [0.474, 0.000, 0.947], [0.771, 0.500, 0.541]]
}

=====

Record 9
{
  "formula": "YBeB3",
  "functional": "PBEsol",
  "state": "optimized geometry",
  "e_form_ev_per_atom": 2.65,
  "cell": [[4.460, 0.000, 0.000], [0.000, 4.460, 0.000], [0.000, 0.000, 4.460]],
  "species": ["Y", "Be", "B", "B", "B"],
  "frac_coords": [[0.000, 0.000, 0.000], [0.500, 0.500, 0.500], [0.000, 0.500, 0.000], [0.000, 0.000, 0.500], [0.500, 0.000, 0.000]]
}

=====

Record 10
{
  "formula": "Be2FeAs2",
  "functional": "PBEsol",
  "state": "optimized geometry",
  "e_form_ev_per_atom": 0.69,
  "cell": [[3.818, 0.000, 0.000], [0.000, 3.818, 0.000], [-1.909, -1.909, 4.932]],
  "species": ["Be", "Be", "As", "As", "Fe"],
  "frac_coords": [[0.398, 0.398, 0.796], [0.602, 0.602, 0.204], [0.250, 0.750, 0.500], [0.750, 0.250, 0.500], [0.000, 0.000, 0.000]]
}

=====

Record 11
{
  "formula": "SnPd2C",
  "functional": "PBEsol",
  "state": "optimized geometry",
  "e_form_ev_per_atom": 0.90,
  "cell": [[-1.767, -2.569, -3.026], [1.983, -0.526, -3.830], [1.861, -3.802, -0.978]],
  "species": ["C", "Sn", "Pd", "Pd"],
  "frac_coords": [[0.000, 0.000, 0.000], [0.500, 0.500, 0.500], [0.250, 0.250, 0.250], [0.750, 0.750, 0.750]]
}

=====

Record 12
{
  "formula": "BeReTc2",
  "functional": "PBEsol",
  "state": "optimized geometry",
  "e_form_ev_per_atom": 0.17,
  "cell": [[4.194, 0.000, 0.000], [2.097, 3.632, 0.000], [2.097, 1.211, 3.424]],
  "species": ["Re", "Tc", "Tc", "Be"],
  "frac_coords": [[0.250, 0.250, 0.250], [0.000, 0.000, 0.000], [0.750, 0.750, 0.750], [0.500, 0.500, 0.500]]
}

=====

Looking at spin magnetization for the records above, in order, we have 4.50 0.71 3.38 1.10 0.00 4.44 0.25 0.00 0.00 3.21 0.00 0.00 μB/f.u..